# 1
A geometry-optimized Ba2AgRh structure. Source: Alexandria, functional PBEsol.

Computed properties:
**N(E_F)**: 1.90 states/eV/cell
**ΔH_f (0 K)**: -0.1096 eV per atom

Structure (extended XYZ):
```
4
Lattice="2.293 1.324 8.079 -2.293 1.324 8.079 0.000 -2.648 8.079" Properties=species:S:1:pos:R:3 pbc="T T T"
Ba 0.000 0.000 0.000
Ba 0.000 0.000 3.984
Ag 0.000 0.000 10.068
Rh 0.000 0.000 18.156
```

# 2
A geometry-optimized BaAgRh2 structure. Source: Alexandria, functional PBEsol.

Computed properties:
**N(E_F)**: 6.55 states/eV/cell
**ΔH_f (0 K)**: 0.4434 eV per atom

Structure (extended XYZ):
```
4
Lattice="-2.212 2.212 3.892 2.212 -2.212 3.892 2.212 2.212 -3.892" Properties=species:S:1:pos:R:3 pbc="T T T"
Ba 0.000 0.000 0.000
Ag 0.000 0.000 3.892
Rh 2.212 0.000 1.946
Rh 0.000 2.212 1.946
```

# 3
A geometry-optimized BaAgRh2 structure. Source: Alexandria, functional PBEsol.

Computed properties:
**N(E_F)**: 6.42 states/eV/cell
**ΔH_f (0 K)**: 0.4172 eV per atom

Structure (extended XYZ):
```
4
Lattice="2.971 0.000 0.000 0.000 4.041 0.000 0.000 0.000 6.542" Properties=species:S:1:pos:R:3 pbc="T T T"
Ba 0.000 0.000 0.000
Ag 0.000 0.000 3.271
Rh 1.485 2.020 2.007
Rh 1.485 2.020 4.535
```

# 4
A geometry-optimized BaAg2Rh2 structure. Source: Alexandria, functional PBEsol.

Computed properties:
**N(E_F)**: 6.55 states/eV/cell
**ΔH_f (0 K)**: 0.3186 eV per atom

Structure (extended XYZ):
```
5
Lattice="-2.071 2.071 6.086 2.071 -2.071 6.086 2.071 2.071 -6.086" Properties=species:S:1:pos:R:3 pbc="T T T"
Ba 0.000 0.000 0.000
Ag 0.000 0.000 4.721
Ag 0.000 0.000 7.451
Rh 2.071 0.000 3.043
Rh 0.000 2.071 3.043
```

# 5
A geometry-optimized Ba2AgRh structure. Source: Alexandria, functional PBEsol.

Computed properties:
**N(E_F)**: 0.92 states/eV/cell
**ΔH_f (0 K)**: -0.1107 eV per atom

Structure (extended XYZ):
```
4
Lattice="4.628 0.000 0.000 0.000 2.263 5.773 0.000 -2.263 5.773" Properties=species:S:1:pos:R:3 pbc="T T T"
Ba 0.000 0.000 0.000
Ba 2.314 0.000 3.266
Ag 2.314 0.000 6.720
Rh 0.000 0.000 8.155
```

# 6
A geometry-optimized Ba2AgRh structure. Source: Alexandria, functional PBEsol.

Computed properties:
**N(E_F)**: 1.56 states/eV/cell
**ΔH_f (0 K)**: -0.0554 eV per atom

Structure (extended XYZ):
```
4
Lattice="3.765 0.000 0.000 0.000 3.765 0.000 0.000 0.000 8.037" Properties=species:S:1:pos:R:3 pbc="T T T"
Ba 0.000 0.000 1.806
Ba 0.000 0.000 6.231
Ag 1.883 1.883 4.018
Rh 1.883 1.883 0.000
```

# 7
A geometry-optimized BaAg2Ru structure. Source: Alexandria, functional PBEsol.

Computed properties:
**N(E_F)**: 3.48 states/eV/cell
**ΔH_f (0 K)**: 0.8539 eV per atom

Structure (extended XYZ):
```
4
Lattice="1.519 0.877 10.136 -1.519 0.877 10.136 0.000 -1.754 10.136" Properties=species:S:1:pos:R:3 pbc="T T T"
Ba 0.000 0.000 0.000
Ag 0.000 0.000 7.216
Ag 0.000 0.000 23.191
Ru 0.000 0.000 15.203
```

# 8
A geometry-optimized BaScAgRu2 structure. Source: Alexandria, functional PBEsol.

Computed properties:
**N(E_F)**: 6.14 states/eV/cell
**ΔH_f (0 K)**: 1.3217 eV per atom

Structure (extended XYZ):
```
5
Lattice="4.646 0.000 0.000 0.000 4.646 0.000 0.000 0.000 5.613" Properties=species:S:1:pos:R:3 pbc="T T T"
Ba 0.000 0.000 0.000
Sc 0.000 0.000 2.806
Ag 2.323 2.323 0.000
Ru 0.000 2.323 2.806
Ru 2.323 0.000 2.806
```

# 9
A geometry-optimized Ba3AgS structure. Source: Alexandria, functional PBEsol.

Computed properties:
**N(E_F)**: 4.14 states/eV/cell
**Formation energy (no corrections)**: -0.131 eV/atom

Structure (extended XYZ):
```
5
Lattice="6.134 0.000 0.000 0.000 6.134 0.000 0.000 0.000 6.134" Properties=species:S:1:pos:R:3 pbc="T T T"
Ba 0.000 0.000 3.067
Ba 0.000 3.067 0.000
Ba 3.067 0.000 0.000
Ag 0.000 0.000 0.000
S 3.067 3.067 3.067
```

# 10
A geometry-optimized BaAgSbS3 structure. Source: Alexandria, functional PBEsol.

Computed properties:
**Formation energy (no corrections)**: -0.877 eV/atom

Structure (extended XYZ):
```
24
Lattice="4.641 -3.988 0.000 4.641 3.988 0.000 -3.516 0.000 16.592" Properties=species:S:1:pos:R:3 pbc="T T T"
Ba 1.189 1.018 1.849
Ba -0.569 -1.018 10.145
Ba 6.336 1.018 6.447
Ba 4.577 -1.018 14.743
Ag 3.762 2.409 4.148
Ag 2.004 0.562 12.444
Ag 3.762 -0.562 4.148
Ag 2.004 -2.409 12.444
Sb 1.568 1.201 7.044
Sb -0.190 -1.201 15.340
Sb 5.956 1.201 1.252
Sb 4.198 -1.201 9.548
S -0.318 1.778 11.840
S -1.963 0.468 15.221
S -0.205 -0.468 6.925
S 2.307 0.300 10.018
S 1.440 -1.778 3.544
S 1.701 0.300 14.871
S 4.065 -0.300 1.721
S 4.327 1.778 13.048
S 3.459 -0.300 6.575
S 5.971 0.468 9.667
S 7.729 -0.468 1.371
S 6.085 -1.778 4.752
```